Entry from Alexandria: a relaxed structure of UCrTc2 (PBE-GGA).

Computed properties:
Symmetry   Fm-3m (225)
Energy relative to the lowest polymorph listed for this composition   138 meV/atom
Crystal system   cubic
Calculated volume   65.5 Å³/cell

Lattice parameters (Å, degrees): 4.5243 4.5243 4.5243 60.00 60.00 60.00
Closest atoms and distances in Å follow each position.
Positions (direct):
U 0.0000 0.0000 0.0000  8 Tc 2.77
Cr 0.5000 0.5000 0.5000  8 Tc 2.77
Tc 0.2500 0.2500 0.2500  4 Cr 2.77, 4 U 2.77
Tc 0.7500 0.7500 0.7500  4 Cr 2.77, 4 U 2.77

***

Entry from Alexandria: a relaxed structure of UCrTc2 (PBE-GGA).

Computed properties:
Symmetry   P4/mmm (123)
Energy relative to the lowest polymorph listed for this composition   0 meV/atom
Crystal system   tetragonal
Calculated volume   62.7 Å³/cell

Lattice parameters (Å, degrees): 2.9507 2.9507 7.1973 90.00 90.00 90.00
Closest atoms and distances in Å follow each position.
Positions (direct):
U 0.0000 0.0000 0.0000  4 U 2.95, 8 Tc 2.98
Cr 0.0000 0.0000 0.5000  8 Tc 2.55
Tc 0.5000 0.5000 0.2956  4 Cr 2.55
Tc 0.5000 0.5000 0.7044  4 Cr 2.55

***

Number 1: energy relative to the elements 0.19 eV per atom, DOS at the Fermi energy 8.510 states/eV/f.u.. Number 2: energy relative to the elements 0.05 eV per atom, DOS at the Fermi energy 4.496 states/eV/f.u..